# KLiCoO2

An optimized crystal structure of KLiCoO2 (GGA+U, the Alexandria database). Values from VASP.

## Properties
Symmetry: No. 12
M_tot (μB per atom): 0.600
E (eV/atom): -4.97
V (A^3/atom): 13.340

The structure in Quantum ESPRESSO input format:
```
&SYSTEM
  ibrav = 0, nat = 10, ntyp = 4
/
ATOMIC_SPECIES
K 39.10 K.upf
Li 6.94 Li.upf
Co 58.93 Co.upf
O 16.00 O.upf
ATOMIC_POSITIONS crystal
K 0.1665 0.1665 0.1288
K 0.8335 0.8335 0.8712
Li 0.3422 0.3422 0.5569
Li 0.6578 0.6578 0.4431
Co 0.0417 0.0417 0.6800
Co 0.9583 0.9583 0.3200
O 0.1609 0.1609 0.5620
O 0.4596 0.4596 0.1949
O 0.5404 0.5404 0.8051
O 0.8391 0.8391 0.4380
CELL_PARAMETERS angstrom
5.4616 -1.6962 0.0000
5.4616 1.6962 0.0000
-4.2315 0.0000 7.2000
```